No. 1
DFT (PBE) results for an optimized crystal structure of Sr2AcBi.

Computed properties:
Its space-group type is P4/mmm. The total energy comes out at -3.177 eV/atom. The energy relative to the lowest polymorph listed for this composition comes out at 0.0 kJ per mole of atoms.

Unit cell a=4.667 b=4.667 c=7.493 alpha=90.00 beta=90.00 gamma=90.00
Element x y z (fractional)
Sr: 0.000 0.000 0.776
Sr: 0.000 0.000 0.224
Ac: 0.500 0.500 0.500
Bi: 0.500 0.500 0.000

No. 2
DFT (PBE) results for an optimized crystal structure of SrAcBi2.

Computed properties:
Its space-group type is P4/mmm. The total energy comes out at -4.152 eV/atom. The energy relative to the lowest polymorph listed for this composition comes out at 4.7 kJ per mole of atoms.

Unit cell a=4.368 b=5.769 c=5.769 alpha=90.00 beta=90.00 gamma=90.00
Element x y z (fractional)
Bi: 0.000 0.000 0.500
Bi: 0.000 0.500 0.000
Ac: 0.500 0.500 0.500
Sr: 0.500 0.000 0.000

No. 3
DFT (PBE) results for an optimized crystal structure of SrAcBi2.

Computed properties:
Its space-group type is Fm-3m. The total energy comes out at -4.145 eV/atom. The energy relative to the lowest polymorph listed for this composition comes out at 5.4 kJ per mole of atoms.

Unit cell a=5.905 b=5.905 c=5.905 alpha=60.00 beta=60.00 gamma=60.00
Element x y z (fractional)
Ac: 0.500 0.500 0.500
Bi: 0.250 0.250 0.250
Bi: 0.750 0.750 0.750
Sr: 0.000 0.000 0.000

No. 4
DFT (PBE) results for an optimized crystal structure of SrAc2Bi9.

Computed properties:
Its space-group type is P4/mmm. The total energy comes out at -4.236 eV/atom.

Unit cell a=5.032 b=5.032 c=15.735 alpha=90.00 beta=90.00 gamma=90.00
Element x y z (fractional)
Sr: 0.000 0.000 0.000
Bi: 0.000 0.500 0.165
Bi: 0.500 0.500 0.331
Bi: 0.000 0.500 0.835
Bi: 0.500 0.000 0.500
Bi: 0.500 0.000 0.835
Bi: 0.000 0.500 0.500
Bi: 0.500 0.000 0.165
Bi: 0.500 0.500 0.000
Bi: 0.500 0.500 0.669
Ac: 0.000 0.000 0.336
Ac: 0.000 0.000 0.664

No. 5
DFT (PBE) results for an optimized crystal structure of SrAcTlBi.

Computed properties:
Its space-group type is F-43m. The total energy comes out at -3.529 eV/atom.

Unit cell a=5.868 b=5.868 c=5.868 alpha=60.00 beta=60.00 gamma=60.00
Element x y z (fractional)
Sr: 0.000 0.000 0.000
Ac: 0.500 0.500 0.500
Bi: 0.750 0.750 0.750
Tl: 0.250 0.250 0.250

No. 6
DFT (PBE) results for an optimized crystal structure of Ac2TaBi.

Computed properties:
Its space-group type is R-3m. The total energy comes out at -5.269 eV/atom. The energy relative to the lowest polymorph listed for this composition comes out at 47.8 kJ per mole of atoms.

Unit cell a=3.479 b=3.479 c=12.586 alpha=82.06 beta=82.06 gamma=60.00
Each line ends with the local moment (μB).
Element x y z (fractional)
Ac: 0.084 0.084 0.748  0.06
Ac: 0.916 0.916 0.252  0.06
Bi: 0.500 0.500 0.500  0.03
Ta: 0.000 0.000 0.000  0.63